Entry 1:
Below is a geometry-optimized PrHo2Co structure, with properties calculated at the PBE-GGA level.

Energy of formation ... -0.33 eV/f.u.
SG ... P4/mmm (123)

The structure in CIF format:
```
data_PrHo2Co
_chemical_formula_sum 'Pr1 Ho2 Co1'
_space_group_name_H-M_alt 'P 1'
_space_group_IT_number 1
_space_group_name_Hall 'P 1'
_cell_length_a 3.409
_cell_length_b 3.409
_cell_length_c 8.963
_cell_angle_alpha 90.00
_cell_angle_beta 90.00
_cell_angle_gamma 90.00
loop_
_atom_site_label
_atom_site_type_symbol
_atom_site_fract_x
_atom_site_fract_y
_atom_site_fract_z
Pr1 Pr 0.500 0.500 0.500
Co1 Co 0.500 0.500 0.000
Ho1 Ho 0.000 0.000 0.822
Ho2 Ho 0.000 0.000 0.178
```

***

Entry 2:
Below is a geometry-optimized Ag3Pt5 structure, with properties calculated at the PBE-GGA level.

Energy of formation ... 0.29 eV/f.u.
SG ... P1 (1)

The structure in CIF format:
```
data_Ag3Pt5
_chemical_formula_sum 'Ag3 Pt5'
_space_group_name_H-M_alt 'P 1'
_space_group_IT_number 1
_space_group_name_Hall 'P 1'
_cell_length_a 4.914
_cell_length_b 5.761
_cell_length_c 4.903
_cell_angle_alpha 90.25
_cell_angle_beta 99.99
_cell_angle_gamma 106.86
loop_
_atom_site_label
_atom_site_type_symbol
_atom_site_fract_x
_atom_site_fract_y
_atom_site_fract_z
Ag1 Ag 0.999 0.003 0.001
Ag2 Ag 0.499 0.370 0.247
Ag3 Ag 0.498 0.125 0.752
Pt1 Pt 0.006 0.510 0.993
Pt2 Pt 0.493 0.626 0.750
Pt3 Pt 0.999 0.746 0.500
Pt4 Pt 0.997 0.255 0.496
Pt5 Pt 0.509 0.866 0.261
```

***

Entry 3:
Below is a geometry-optimized FeIr2Se structure, with properties calculated at the PBE-GGA level.

SG ... Pmm2 (25)
Raw formation energy ... 0.356 eV/atom

The structure in CIF format:
```
data_FeIr2Se
_chemical_formula_sum 'Fe1 Ir2 Se1'
_space_group_name_H-M_alt 'P 1'
_space_group_IT_number 1
_space_group_name_Hall 'P 1'
_cell_length_a 2.823
_cell_length_b 3.579
_cell_length_c 5.820
_cell_angle_alpha 90.00
_cell_angle_beta 90.00
_cell_angle_gamma 90.00
loop_
_atom_site_label
_atom_site_type_symbol
_atom_site_fract_x
_atom_site_fract_y
_atom_site_fract_z
Ir1 Ir 0.000 0.000 0.980
Ir2 Ir 0.500 0.500 0.239
Fe1 Fe 0.500 0.500 0.760
Se1 Se 0.000 0.000 0.520
```

***

Entry 4:
Below is a geometry-optimized HfAg3H structure, with properties calculated at the PBE-GGA level.

SG ... Pm-3m (221)
Electronic total energy ... -3.93 eV/atom

The structure in CIF format:
```
data_HfAg3H
_chemical_formula_sum 'Hf1 Ag3 H1'
_space_group_name_H-M_alt 'P 1'
_space_group_IT_number 1
_space_group_name_Hall 'P 1'
_cell_length_a 4.293
_cell_length_b 4.293
_cell_length_c 4.293
_cell_angle_alpha 90.00
_cell_angle_beta 90.00
_cell_angle_gamma 90.00
loop_
_atom_site_label
_atom_site_type_symbol
_atom_site_fract_x
_atom_site_fract_y
_atom_site_fract_z
Ag1 Ag 0.000 0.000 0.500
Ag2 Ag 0.500 0.000 0.000
Ag3 Ag 0.000 0.500 0.000
Hf1 Hf 0.500 0.500 0.500
H1 H 0.000 0.000 0.000
```

***

Number 3 is which compound? FeIr2Se